LiReP2: optimized geometry, PBE.

Results
- energy of formation from the pure elements (meV/atom) = -308
- raw total energy (eV/atom) = -6.60
- density of states at the Fermi level (states/eV/atom) = 0.2365

abc: 3.105 3.105 21.966
angles: 90.00 90.00 120.00
Element x y z (fractional)
Li: 0.000 0.000 0.000
Li: 0.333 0.667 0.667
Li: 0.667 0.333 0.333
Re: 0.000 0.000 0.161
Re: 0.333 0.667 0.827
Re: 0.667 0.333 0.494
P: 0.000 0.000 0.570
P: 0.000 0.000 0.753
P: 0.333 0.667 0.236
P: 0.333 0.667 0.419
P: 0.667 0.333 0.086
P: 0.667 0.333 0.903